Entry 1:
BaNaHg4Pb2 | PBE | optimized geometry

Unit cell a=5.4314 b=5.4314 c=27.2806 alpha=90.00 beta=90.00 gamma=120.00
Space group R-3m (No. 166, hexagonal axes)
Asymmetric unit:
Ba1 0.0000 0.0000 0.0000 x3
Na1 0.0000 0.0000 0.5000 x3
Hg1 0.0000 0.0000 0.1310 x6
Hg2 0.0000 0.0000 0.3858 x6
Pb1 0.0000 0.0000 0.2478 x6

Computed properties:
* formation energy from the elements: -27 kJ per mole of atoms
* total magnetic moment: 0.000 μB per atom

=====

Entry 2:
Ba2NaHg12Pd3 | PBE | optimized geometry

Unit cell a=9.7539 b=9.7539 c=21.1481 alpha=90.00 beta=90.00 gamma=120.00
Space group R-3m (No. 166, hexagonal axes)
Asymmetric unit:
Ba1 0.0000 0.0000 0.0949 x6
Na1 0.0000 0.0000 0.5000 x3
Hg1 0.0360 0.5180 0.3180 x18
Hg2 0.0387 0.5193 0.8711 x18
Pd1 0.0000 0.5000 0.0000 x9

Computed properties:
* formation energy from the elements: -12 kJ per mole of atoms
* total magnetic moment: 0.000 μB per atom